[1]
## YCr3 (meta-GGA SCAN)

Data for YCr3 at its PBEsol-relaxed geometry.

a = 2.9012 Å, b = 3.5804 Å, c = 6.1420 Å
α = 90.00°, β = 101.37°, γ = 90.00°
Space group P2/m (No. 10)
Inequivalent atoms, fractional coordinates:
Y1 0.0000 0.0000 0.0000 [1 per cell]
Cr1 0.0000 0.0000 0.5000 [1 per cell]
Cr2 0.4211 0.5000 0.6616 [2 per cell]

## Properties
Electronic total energy: -20.22 eV per atom


[2]
## Y2Cr3 (meta-GGA SCAN)

Data for Y2Cr3 at its PBEsol-relaxed geometry.

a = 3.1218 Å, b = 3.1218 Å, c = 32.3805 Å
α = 90.00°, β = 90.00°, γ = 120.00°
Space group R-3m (No. 166, hexagonal axes)
Inequivalent atoms, fractional coordinates:
Y1 0.0000 0.0000 0.0950 [6 per cell]
Cr1 0.0000 0.0000 0.3123 [6 per cell]
Cr2 0.0000 0.0000 0.5000 [3 per cell]

## Properties
Electronic total energy: -21.44 eV per atom


[3]
## Y3Cr2 (meta-GGA SCAN)

Data for Y3Cr2 at its PBEsol-relaxed geometry.

a = 3.3681 Å, b = 3.3681 Å, c = 36.2109 Å
α = 90.00°, β = 90.00°, γ = 120.00°
Space group R-3m (No. 166, hexagonal axes)
Inequivalent atoms, fractional coordinates:
Y1 0.0000 0.0000 0.0000 [3 per cell]
Y2 0.0000 0.0000 0.2099 [6 per cell]
Cr1 0.0000 0.0000 0.3961 [6 per cell]

## Properties
Electronic total energy: -23.66 eV per atom
Energy above the lowest structure with this stoichiometry: 0.75 eV/f.u.


Number 1: Fermi-level density of states 0.89 states/eV per atom. Number 2: Fermi-level density of states 0.99 states/eV per atom. Number 3: Fermi-level density of states 0.98 states/eV per atom.